{"formula": "Cs2V2CdO6", "functional": "GGA+U", "state": "optimized geometry", "lattice_angstrom": [[-0.568, -4.961, 3.836], [4.277, -0.996, 4.513], [-2.036, 1.357, 6.622]], "species": ["Cs", "Cs", "V", "V", "Cd", "O", "O", "O", "O", "O", "O"], "fractional_positions": [[0.779, 0.779, 0.664], [0.221, 0.221, 0.336], [0.425, 0.425, 0.724], [0.575, 0.575, 0.276], [0.000, 0.000, 0.000], [0.748, 0.748, 0.223], [0.282, 0.748, 0.223], [0.748, 0.282, 0.223], [0.252, 0.718, 0.777], [0.718, 0.252, 0.777], [0.252, 0.252, 0.777]], "total_energy_ev_per_cell": -65.53, "total_magnetization_mub_per_fu": 0.1}